The following is a PBE-GGA calculation of a relaxed ZnRhBr2 crystal, from the Alexandria database.

Lattice parameters (Å, degrees): 8.294 8.294 8.294 25.37 25.37 25.37
Fractional positions:
Br 0.899 0.899 0.899
Br 0.101 0.101 0.101
Rh 0.000 0.000 0.000
Zn 0.500 0.500 0.500

Magnetization, μB/cell: 0.81
Crystal system: trigonal
Space-group type: R-3m
E above lowest polymorph, meV per atom: 385
Raw total energy, eV per formula unit: -11.3
V, Å³/atom: 23.04
Formation energy without anion corrections, eV per atom: 0.1797

---

The following is a PBE-GGA calculation of a relaxed ScOsPbO6 crystal, from the Alexandria database.

Lattice parameters (Å, degrees): 7.358 7.221 7.660 118.12 118.70 90.00
Fractional positions:
Pb 0.005 0.255 0.010
Pb 0.995 0.745 0.990
O 0.563 0.313 0.126
O 0.210 0.327 0.787
O 0.423 0.673 0.213
O 0.437 0.687 0.874
O 0.577 0.327 0.787
O 0.183 0.933 0.366
O 0.817 0.067 0.634
O 0.790 0.040 0.213
O 0.790 0.673 0.213
O 0.423 0.040 0.213
O 0.577 0.960 0.787
O 0.210 0.960 0.787
Os 0.500 0.500 0.000
Os 0.500 0.000 0.000
Sc 0.500 0.000 0.500
Sc 0.000 0.000 0.500

Magnetization, μB/cell: 0.99
Crystal system: orthorhombic
Space-group type: Imma
Raw total energy, eV per formula unit: -65.0
V, Å³/atom: 16.73
Formation energy without anion corrections, eV per atom: -1.5537

---

The following is a PBE-GGA calculation of a relaxed LaMn2Ag crystal, from the Alexandria database.

Lattice parameters (Å, degrees): 4.684 3.296 5.711 77.68 90.00 90.00
Fractional positions:
La 0.500 0.750 0.750
Mn 0.000 0.407 0.468
Mn 0.000 0.093 0.032
Ag 0.500 0.250 0.250

Magnetization, μB/cell: 7.48
Crystal system: monoclinic
Space-group type: P2/m
Raw total energy, eV per formula unit: -24.4
V, Å³/atom: 21.54

---

The following is a PBE-GGA calculation of a relaxed Na4U3S8 crystal, from the Alexandria database.

Lattice parameters (Å, degrees): 7.851 7.966 7.966 89.44 120.84 120.84
Fractional positions:
S 0.500 0.254 0.746
S 0.957 0.730 0.730
S 0.000 0.250 0.750
S 0.514 0.265 0.265
S 0.000 0.750 0.250
S 0.486 0.735 0.735
S 0.043 0.270 0.270
S 0.500 0.746 0.254
Na 0.000 0.000 0.000
Na 0.000 0.000 0.500
Na 0.500 0.000 0.000
Na 0.000 0.500 0.000
U 0.500 0.500 0.000
U 0.500 0.500 0.500
U 0.500 0.000 0.500

Magnetization, μB/cell: 6.00
Crystal system: monoclinic
Space-group type: C2/m
E above lowest polymorph, meV per atom: 92
Raw total energy, eV per formula unit: -90.8
V, Å³/atom: 23.00
Formation energy without anion corrections, eV per atom: -1.2399

---

The following is a PBE-GGA calculation of a relaxed La2PrYAs4 crystal, from the Alexandria database.

Lattice parameters (Å, degrees): 4.301 7.440 7.441 70.54 90.00 90.00
Fractional positions:
As 0.000 0.256 0.253
As 0.000 0.744 0.747
As 0.500 0.741 0.258
As 0.500 0.259 0.742
Pr 0.500 0.500 0.000
La 0.000 0.000 0.000
La 0.500 0.000 0.500
Y 0.000 0.500 0.500

Magnetization, μB/cell: 0.00
Crystal system: monoclinic
Space-group type: P2/m
Raw total energy, eV per formula unit: -52.0
V, Å³/atom: 28.06

---

The following is a PBE-GGA calculation of a relaxed Ca2HgIrC crystal, from the Alexandria database.

Lattice parameters (Å, degrees): 5.201 5.201 3.874 90.00 90.00 90.00
Fractional positions:
Hg 0.500 0.500 0.500
C 0.000 0.000 0.000
Ca 0.000 0.500 0.000
Ca 0.500 0.000 0.000
Ir 0.000 0.000 0.500

Magnetization, μB/cell: 0.00
Crystal system: tetragonal
Space-group type: P4/mmm
Raw total energy, eV per formula unit: -24.3
V, Å³/atom: 20.96

---

The following is a PBE-GGA calculation of a relaxed Tb5YP6 crystal, from the Alexandria database.

Lattice parameters (Å, degrees): 6.973 6.975 6.974 59.99 80.40 70.53
Fractional positions:
P 0.250 0.917 0.667
P 0.250 0.250 0.000
P 0.750 0.750 0.000
P 0.250 0.584 0.333
P 0.750 0.083 0.333
P 0.750 0.416 0.667
Tb 0.000 0.333 0.333
Tb 0.500 0.500 0.000
Tb 0.500 0.167 0.667
Tb 0.500 0.833 0.333
Tb 0.000 0.667 0.667
Y 0.000 0.000 0.000

Magnetization, μB/cell: 0.00
Crystal system: monoclinic
Space-group type: C2/m
Raw total energy, eV per formula unit: -81.5
V, Å³/atom: 23.08

---

The following is a PBE-GGA calculation of a relaxed Pm2Sm6Dy3Er crystal, from the Alexandria database.

Lattice parameters (Å, degrees): 6.237 6.237 11.919 94.99 94.99 119.98
Fractional positions:
Sm 0.752 0.752 0.252
Sm 0.248 0.248 0.748
Sm 0.916 0.584 0.748
Sm 0.584 0.916 0.748
Sm 0.416 0.084 0.252
Sm 0.084 0.416 0.252
Dy 0.500 0.500 0.500
Dy 0.834 0.166 0.500
Dy 0.166 0.834 0.500
Er 0.000 0.000 0.000
Pm 0.667 0.333 0.000
Pm 0.333 0.667 0.000

Magnetization, μB/cell: 0.00
Crystal system: monoclinic
Space-group type: C2/m
Raw total energy, eV per formula unit: -56.0
V, Å³/atom: 32.95